Record 1
A relaxed ZrAg2As crystal. Source: the Alexandria database, functional PBE.

The structure in CIF format:
```
data_ZrAg2As
_chemical_formula_sum 'Zr4 Ag8 As4'
_cell_length_a 7.7738
_cell_length_b 7.7738
_cell_length_c 5.4106
_cell_angle_alpha 90.00
_cell_angle_beta 90.00
_cell_angle_gamma 90.00
_symmetry_space_group_name_H-M 'I -4 2 d'
_symmetry_Int_Tables_number 122
_symmetry_space_group_name_Hall 'I -4 2bw'
loop_
_atom_site_label
_atom_site_type_symbol
_atom_site_fract_x
_atom_site_fract_y
_atom_site_fract_z
Zr1 Zr 0.0000 0.0000 0.0000
Ag1 Ag 0.2169 0.2500 0.6250
As1 As 0.0000 0.0000 0.5000
```

DFT formation energy, eV/f.u.: -0.07
Magnetization, μB per cell: 0.00

Record 2
A relaxed Zr2AgAs crystal. Source: the Alexandria database, functional PBE.

The structure in CIF format:
```
data_Zr2AgAs
_chemical_formula_sum 'Zr8 Ag4 As4'
_cell_length_a 7.5052
_cell_length_b 7.5052
_cell_length_c 6.0201
_cell_angle_alpha 90.00
_cell_angle_beta 90.00
_cell_angle_gamma 90.00
_symmetry_space_group_name_H-M 'I -4 2 d'
_symmetry_Int_Tables_number 122
_symmetry_space_group_name_Hall 'I -4 2bw'
loop_
_atom_site_label
_atom_site_type_symbol
_atom_site_fract_x
_atom_site_fract_y
_atom_site_fract_z
Zr1 Zr 0.2323 0.2500 0.1250
Ag1 Ag 0.0000 0.0000 0.5000
As1 As 0.0000 0.0000 0.0000
```

DFT formation energy, eV/f.u.: -0.91
Magnetization, μB per cell: 0.00

Record 3
A relaxed Zr2AgAs crystal. Source: the Alexandria database, functional PBE.

The structure in CIF format:
```
data_Zr2AgAs
_chemical_formula_sum 'Zr4 Ag2 As2'
_cell_length_a 4.0792
_cell_length_b 5.0796
_cell_length_c 8.0875
_cell_angle_alpha 90.00
_cell_angle_beta 90.00
_cell_angle_gamma 90.00
_symmetry_space_group_name_H-M 'C m m 2'
_symmetry_Int_Tables_number 35
_symmetry_space_group_name_Hall 'C 2 -2'
loop_
_atom_site_label
_atom_site_type_symbol
_atom_site_fract_x
_atom_site_fract_y
_atom_site_fract_z
Zr1 Zr 0.0000 0.0000 0.0000
Zr2 Zr 0.0000 0.5000 0.2883
Ag1 Ag 0.0000 0.5000 0.7392
As1 As 0.0000 0.0000 0.5040
```

DFT formation energy, eV/f.u.: -0.69
Magnetization, μB per cell: 0.00

Record 4
A relaxed Ag3Au crystal. Source: the Alexandria database, functional PBE.

The structure in CIF format:
```
data_Ag3Au
_chemical_formula_sum 'Ag3 Au1'
_cell_length_a 2.9465
_cell_length_b 2.9465
_cell_length_c 9.5822
_cell_angle_alpha 90.00
_cell_angle_beta 90.00
_cell_angle_gamma 120.00
_symmetry_space_group_name_H-M 'P -6 m 2'
_symmetry_Int_Tables_number 187
_symmetry_space_group_name_Hall 'P -6 2'
loop_
_atom_site_label
_atom_site_type_symbol
_atom_site_fract_x
_atom_site_fract_y
_atom_site_fract_z
Ag1 Ag 0.0000 0.0000 0.0000
Ag2 Ag 0.6667 0.3333 0.2486
Au1 Au 0.0000 0.0000 0.5000
```

DFT formation energy, eV/f.u.: 0.03
Magnetization, μB per cell: 0.00

Record 5
A relaxed Ag2Au5 crystal. Source: the Alexandria database, functional PBE.

The structure in CIF format:
```
data_Ag2Au5
_chemical_formula_sum 'Ag8 Au20'
_cell_length_a 12.9441
_cell_length_b 5.0618
_cell_length_c 7.7079
_cell_angle_alpha 90.00
_cell_angle_beta 92.16
_cell_angle_gamma 90.00
_symmetry_space_group_name_H-M 'C 1 2/c 1'
_symmetry_Int_Tables_number 15
_symmetry_space_group_name_Hall '-C 2yc'
loop_
_atom_site_label
_atom_site_type_symbol
_atom_site_fract_x
_atom_site_fract_y
_atom_site_fract_z
Ag1 Ag 0.0713 0.1651 0.1061
Au1 Au 0.0000 0.3350 0.7500
Au2 Au 0.1424 0.3361 0.4636
Au3 Au 0.2133 0.1643 0.8203
```

DFT formation energy, eV/f.u.: -0.18
Magnetization, μB per cell: 0.00

Record 6
A relaxed Ag5Au crystal. Source: the Alexandria database, functional PBE.

The structure in CIF format:
```
data_Ag5Au
_chemical_formula_sum 'Ag5 Au1'
_cell_length_a 2.9176
_cell_length_b 2.9176
_cell_length_c 12.6415
_cell_angle_alpha 90.00
_cell_angle_beta 90.00
_cell_angle_gamma 90.00
_symmetry_space_group_name_H-M 'P 4/m m m'
_symmetry_Int_Tables_number 123
_symmetry_space_group_name_Hall '-P 4 2'
loop_
_atom_site_label
_atom_site_type_symbol
_atom_site_fract_x
_atom_site_fract_y
_atom_site_fract_z
Ag1 Ag 0.0000 0.0000 0.0000
Ag2 Ag 0.0000 0.0000 0.3331
Ag3 Ag 0.5000 0.5000 0.1666
Au1 Au 0.5000 0.5000 0.5000
```

DFT formation energy, eV/f.u.: -0.02
Magnetization, μB per cell: 0.00
ΔE to the lowest computed polymorph, eV/atom: 0.008

Record 7
A relaxed Ag3Au11 crystal. Source: the Alexandria database, functional PBE.

The structure in CIF format:
```
data_Ag3Au11
_chemical_formula_sum 'Ag6 Au22'
_cell_length_a 2.9187
_cell_length_b 12.6697
_cell_length_c 14.1182
_cell_angle_alpha 90.00
_cell_angle_beta 90.00
_cell_angle_gamma 90.00
_symmetry_space_group_name_H-M 'I m m m'
_symmetry_Int_Tables_number 71
_symmetry_space_group_name_Hall '-I 2 2'
loop_
_atom_site_label
_atom_site_type_symbol
_atom_site_fract_x
_atom_site_fract_y
_atom_site_fract_z
Ag1 Ag 0.0000 0.0000 0.0000
Ag2 Ag 0.0000 0.0000 0.3104
Au1 Au 0.0000 0.2066 0.5000
Au2 Au 0.0000 0.3047 0.1715
Au3 Au 0.0000 0.3895 0.3582
Au4 Au 0.0000 0.5000 0.0000
```

DFT formation energy, eV/f.u.: 0.48
Magnetization, μB per cell: 0.00

Record 8
A relaxed Ag3Au2 crystal. Source: the Alexandria database, functional PBE.

The structure in CIF format:
```
data_Ag3Au2
_chemical_formula_sum 'Ag6 Au4'
_cell_length_a 2.9201
_cell_length_b 4.1171
_cell_length_c 14.9066
_cell_angle_alpha 90.00
_cell_angle_beta 90.00
_cell_angle_gamma 90.00
_symmetry_space_group_name_H-M 'I m m m'
_symmetry_Int_Tables_number 71
_symmetry_space_group_name_Hall '-I 2 2'
loop_
_atom_site_label
_atom_site_type_symbol
_atom_site_fract_x
_atom_site_fract_y
_atom_site_fract_z
Ag1 Ag 0.0000 0.0000 0.0000
Ag2 Ag 0.0000 0.0000 0.2001
Au1 Au 0.0000 0.0000 0.3995
```

DFT formation energy, eV/f.u.: -0.20
Magnetization, μB per cell: 0.00
ΔE to the lowest computed polymorph, eV/atom: 0.000